VASP calculation (SCAN) on a crystal of LiTeCI2 relaxed with PBEsol.

Lattice parameters (Å, degrees): 5.163 5.163 5.047 90.00 90.00 90.00
Space group P4/mmm (No. 123)
One atom of each set of equivalent atoms:
Li1 0.000 0.000 0.000 x1
Te1 0.000 0.000 0.500 x1
C1 0.500 0.500 0.500 x1
I1 0.000 0.500 0.000 x2

Values from the calculation:
The value obtained for the total magnetization is 0.73 μB per formula unit. The value obtained for the density of states at the Fermi level is 5.966 states/eV per cell. Its uncorrected formation energy is 1.4423 eV/atom.

VASP calculation (SCAN) on a crystal of MgC3I relaxed with PBEsol.

Lattice parameters (Å, degrees): 4.202 4.202 4.202 90.00 90.00 90.00
Space group Pm-3m (No. 221)
One atom of each set of equivalent atoms:
Mg1 0.000 0.000 0.000 x1
C1 0.000 0.000 0.500 x3
I1 0.500 0.500 0.500 x1

Values from the calculation:
The value obtained for the total magnetization is 0.01 μB per formula unit. The value obtained for the density of states at the Fermi level is 3.745 states/eV per cell. Its uncorrected formation energy is 3.1721 eV/atom.

VASP calculation (SCAN) on a crystal of MgTe2CI relaxed with PBEsol.

Lattice parameters (Å, degrees): 5.412 5.412 5.420 90.00 90.00 90.00
Space group P4/mmm (No. 123)
One atom of each set of equivalent atoms:
Mg1 0.000 0.000 0.000 x1
Te1 0.000 0.500 0.000 x2
C1 0.500 0.500 0.500 x1
I1 0.000 0.000 0.500 x1

Values from the calculation:
The value obtained for the total magnetization is 0.01 μB per formula unit. The value obtained for the density of states at the Fermi level is 4.135 states/eV per cell. Its uncorrected formation energy is 1.4560 eV/atom.

VASP calculation (SCAN) on a crystal of MgTeCI2 relaxed with PBEsol.

Lattice parameters (Å, degrees): 5.496 5.496 5.549 90.00 90.00 90.00
Space group P4/mmm (No. 123)
One atom of each set of equivalent atoms:
Mg1 0.000 0.000 0.000 x1
Te1 0.000 0.000 0.500 x1
C1 0.500 0.500 0.500 x1
I1 0.000 0.500 0.000 x2

Values from the calculation:
The value obtained for the total magnetization is 0.08 μB per formula unit. The value obtained for the density of states at the Fermi level is 1.799 states/eV per cell. Its uncorrected formation energy is 1.2269 eV/atom.